{"formula": "Ca5SmCd4", "functional": "PBE-GGA", "state": "optimized geometry", "lattice_angstrom": [[3.799, 0.000, 0.000], [0.000, 3.799, 0.000], [0.000, 0.000, 20.869]], "species": ["Ca", "Ca", "Ca", "Ca", "Ca", "Sm", "Cd", "Cd", "Cd", "Cd"], "frac_coords": [[0.500, 0.500, 0.128], [0.500, 0.500, 0.314], [0.500, 0.500, 0.500], [0.500, 0.500, 0.686], [0.500, 0.500, 0.872], [0.000, 0.000, 0.000], [0.000, 0.000, 0.219], [0.000, 0.000, 0.408], [0.000, 0.000, 0.592], [0.000, 0.000, 0.781]], "dft_energy_ev_per_cell": -20.8, "mass_density_g_cm3": 4.4, "space_group": "No. 123", "ef_ev_per_atom": -0.243}

{"formula": "CaSm5Cd3", "functional": "PBE-GGA", "state": "optimized geometry", "lattice_angstrom": [[7.031, 0.000, 0.000], [0.000, 9.408, 0.000], [0.000, -4.704, 8.147]], "species": ["Ca", "Ca", "Sm", "Sm", "Sm", "Sm", "Sm", "Sm", "Sm", "Sm", "Sm", "Sm", "Cd", "Cd", "Cd", "Cd", "Cd", "Cd"], "frac_coords": [[0.000, 0.000, 0.000], [0.500, 0.000, 0.000], [0.000, 0.667, 0.333], [0.500, 0.333, 0.667], [0.000, 0.333, 0.667], [0.500, 0.667, 0.333], [0.750, 0.666, 0.666], [0.750, 0.000, 0.334], [0.750, 0.334, 0.000], [0.250, 0.334, 0.334], [0.250, 0.000, 0.666], [0.250, 0.666, 0.000], [0.750, 0.334, 0.334], [0.750, 0.000, 0.666], [0.750, 0.666, 0.000], [0.250, 0.666, 0.666], [0.250, 0.000, 0.334], [0.250, 0.334, 0.000]], "dft_energy_ev_per_cell": -59.9, "mass_density_g_cm3": 7.0, "space_group": "No. 193", "ef_ev_per_atom": -0.180}

{"formula": "Ca3SmCd2", "functional": "PBE-GGA", "state": "optimized geometry", "lattice_angstrom": [[-2.411, -4.536, -1.353], [0.410, -2.220, 6.713], [-8.951, 4.183, 1.930]], "species": ["Ca", "Ca", "Ca", "Ca", "Ca", "Ca", "Sm", "Sm", "Cd", "Cd", "Cd", "Cd"], "frac_coords": [[0.000, 0.463, 0.947], [0.000, 0.963, 0.053], [0.500, 0.671, 0.186], [0.500, 0.171, 0.814], [0.000, 0.331, 0.317], [0.000, 0.831, 0.683], [0.500, 0.537, 0.548], [0.500, 0.037, 0.452], [0.500, 0.709, 0.856], [0.500, 0.209, 0.144], [0.000, 0.288, 0.634], [0.000, 0.788, 0.366]], "dft_energy_ev_per_cell": -27.7, "mass_density_g_cm3": 4.3, "space_group": "No. 26", "ef_ev_per_atom": -0.216}

{"formula": "CaSmCd", "functional": "PBE-GGA", "state": "optimized geometry", "lattice_angstrom": [[3.653, 0.000, 0.000], [0.000, 5.400, 0.000], [0.000, -2.700, 4.676]], "species": ["Ca", "Sm", "Cd"], "frac_coords": [[0.399, 0.333, 0.667], [0.958, 0.000, 0.000], [0.644, 0.667, 0.333]], "dft_energy_ev_per_cell": -7.8, "mass_density_g_cm3": 5.5, "space_group": "No. 156", "ef_ev_per_atom": -0.067}

{"formula": "CaSm2Cd6", "functional": "PBE-GGA", "state": "optimized geometry", "lattice_angstrom": [[3.497, 0.000, 0.000], [0.000, 7.553, -4.361], [0.000, 0.000, 8.722]], "species": ["Ca", "Sm", "Sm", "Cd", "Cd", "Cd", "Cd", "Cd", "Cd"], "frac_coords": [[0.000, 0.000, 0.000], [0.000, 0.333, 0.667], [0.000, 0.667, 0.333], [0.500, 0.333, 0.333], [0.500, 0.667, 0.667], [0.500, 0.000, 0.667], [0.500, 0.667, 0.000], [0.500, 0.333, 0.000], [0.500, 0.000, 0.333]], "dft_energy_ev_per_cell": -19.9, "mass_density_g_cm3": 7.3, "space_group": "No. 191", "ef_ev_per_atom": -0.335}

{"formula": "Ca3SmCd4", "functional": "PBE-GGA", "state": "optimized geometry", "lattice_angstrom": [[5.189, 0.000, 1.532], [2.368, 4.617, 1.532], [0.048, 0.029, 9.393]], "species": ["Ca", "Ca", "Ca", "Sm", "Cd", "Cd", "Cd", "Cd"], "frac_coords": [[0.249, 0.249, 0.252], [0.751, 0.751, 0.748], [0.500, 0.500, 0.500], [0.000, 0.000, 0.000], [0.876, 0.876, 0.373], [0.375, 0.375, 0.876], [0.124, 0.124, 0.627], [0.625, 0.625, 0.124]], "dft_energy_ev_per_cell": -17.2, "mass_density_g_cm3": 5.3, "space_group": "No. 166", "ef_ev_per_atom": -0.354}

{"formula": "Ca2SmCd3", "functional": "PBE-GGA", "state": "optimized geometry", "lattice_angstrom": [[-2.648, -1.901, -4.310], [-0.956, -2.083, 4.894], [-4.802, 4.487, 0.972]], "species": ["Ca", "Ca", "Sm", "Cd", "Cd", "Cd"], "frac_coords": [[0.667, 0.333, 0.336], [0.333, 0.667, 0.664], [0.000, 0.000, 0.000], [0.000, 0.000, 0.500], [0.667, 0.333, 0.839], [0.333, 0.667, 0.161]], "dft_energy_ev_per_cell": -13.6, "mass_density_g_cm3": 5.6, "space_group": "No. 164", "ef_ev_per_atom": -0.360}

{"formula": "CaSm2Cd4", "functional": "PBE-GGA", "state": "optimized geometry", "lattice_angstrom": [[-2.563, -3.534, -2.988], [2.687, -3.031, -3.402], [1.090, -8.107, 3.970]], "species": ["Ca", "Sm", "Sm", "Cd", "Cd", "Cd", "Cd"], "frac_coords": [[0.000, 0.000, 0.000], [0.750, 0.750, 0.750], [0.250, 0.250, 0.250], [0.874, 0.874, 0.379], [0.126, 0.126, 0.621], [0.619, 0.619, 0.144], [0.381, 0.381, 0.856]], "dft_energy_ev_per_cell": -16.1, "mass_density_g_cm3": 6.3, "space_group": "No. 166", "ef_ev_per_atom": -0.138}

{"formula": "CaSmCd", "functional": "PBE-GGA", "state": "optimized geometry", "lattice_angstrom": [[4.783, -0.576, -0.003], [0.575, 4.782, -0.003], [0.001, 0.000, 8.454]], "species": ["Ca", "Ca", "Sm", "Sm", "Cd", "Cd"], "frac_coords": [[0.980, 0.993, 0.521], [0.481, 0.493, 0.236], [0.481, 0.993, 0.879], [0.981, 0.493, 0.879], [0.981, 0.993, 0.135], [0.480, 0.493, 0.622]], "dft_energy_ev_per_cell": -16.1, "mass_density_g_cm3": 5.1, "space_group": "No. 129", "ef_ev_per_atom": -0.139}

{"formula": "CaSm5Cd6", "functional": "PBE-GGA", "state": "optimized geometry", "lattice_angstrom": [[-3.796, -2.614, -2.807], [4.390, -6.265, -0.102], [-5.286, -3.793, 5.499]], "species": ["Ca", "Sm", "Sm", "Sm", "Sm", "Sm", "Cd", "Cd", "Cd", "Cd", "Cd", "Cd"], "frac_coords": [[0.000, 0.000, 0.000], [0.667, 0.500, 0.666], [0.335, 0.000, 0.331], [0.000, 0.500, 0.000], [0.665, 0.000, 0.669], [0.333, 0.500, 0.334], [0.833, 0.750, 0.334], [0.833, 0.250, 0.334], [0.500, 0.252, 0.000], [0.500, 0.748, 0.000], [0.167, 0.750, 0.666], [0.167, 0.250, 0.666]], "dft_energy_ev_per_cell": -35.0, "mass_density_g_cm3": 7.3, "space_group": "No. 65", "ef_ev_per_atom": -0.327}

{"formula": "CaSmCd4", "functional": "PBE-GGA", "state": "optimized geometry", "lattice_angstrom": [[0.371, 4.434, -2.299], [-4.510, -1.994, 0.875], [-4.389, 5.787, 4.969]], "species": ["Ca", "Sm", "Cd", "Cd", "Cd", "Cd"], "frac_coords": [[0.001, 0.997, 0.498], [0.501, 0.497, 0.998], [0.601, 0.930, 0.231], [0.402, 0.065, 0.765], [0.069, 0.398, 0.765], [0.934, 0.597, 0.231]], "dft_energy_ev_per_cell": -12.4, "mass_density_g_cm3": 6.8, "space_group": "No. 12", "ef_ev_per_atom": -0.344}

{"formula": "Ca2SmCd9", "functional": "PBE-GGA", "state": "optimized geometry", "lattice_angstrom": [[1.352, 5.840, 0.062], [-0.921, 3.238, 4.961], [9.000, 0.943, 4.678]], "species": ["Ca", "Ca", "Sm", "Cd", "Cd", "Cd", "Cd", "Cd", "Cd", "Cd", "Cd", "Cd"], "frac_coords": [[0.858, 0.858, 0.426], [0.142, 0.142, 0.574], [0.000, 0.000, 0.000], [0.665, 0.665, 0.005], [0.335, 0.335, 0.995], [0.500, 0.500, 0.500], [0.412, 0.412, 0.253], [0.923, 0.412, 0.253], [0.412, 0.923, 0.253], [0.588, 0.588, 0.747], [0.588, 0.077, 0.747], [0.077, 0.588, 0.747]], "dft_energy_ev_per_cell": -19.8, "mass_density_g_cm3": 6.9, "space_group": "No. 166", "ef_ev_per_atom": -0.239}

{"formula": "Ca2Sm2Cd3", "functional": "PBE-GGA", "state": "optimized geometry", "lattice_angstrom": [[5.149, -0.001, -1.434], [-2.775, 4.570, -0.003], [-0.179, -0.109, 9.278]], "species": ["Ca", "Ca", "Sm", "Sm", "Cd", "Cd", "Cd"], "frac_coords": [[0.256, 0.128, 0.384], [0.744, 0.872, 0.616], [0.758, 0.379, 0.137], [0.242, 0.621, 0.863], [0.000, 0.000, 0.000], [0.510, 0.255, 0.765], [0.490, 0.745, 0.235]], "dft_energy_ev_per_cell": -17.8, "mass_density_g_cm3": 5.5, "space_group": "No. 12", "ef_ev_per_atom": -0.223}

{"formula": "Ca3Sm2Cd3", "functional": "PBE-GGA", "state": "optimized geometry", "lattice_angstrom": [[3.759, 0.000, -0.605], [-0.207, 5.357, -1.288], [-0.003, 0.036, 11.950]], "species": ["Ca", "Ca", "Ca", "Sm", "Sm", "Cd", "Cd", "Cd"], "frac_coords": [[0.380, 0.380, 0.760], [0.620, 0.620, 0.240], [0.500, 0.000, 0.000], [0.267, 0.767, 0.534], [0.733, 0.233, 0.466], [0.881, 0.881, 0.761], [0.000, 0.500, 0.000], [0.119, 0.119, 0.239]], "dft_energy_ev_per_cell": -20.1, "mass_density_g_cm3": 5.2, "space_group": "No. 71", "ef_ev_per_atom": -0.244}

{"formula": "CaSmCd", "functional": "PBE-GGA", "state": "optimized geometry", "lattice_angstrom": [[5.504, -0.001, 0.000], [-2.752, 4.767, 0.000], [0.000, 0.000, 6.973]], "species": ["Ca", "Ca", "Sm", "Sm", "Cd", "Cd"], "frac_coords": [[0.000, 0.500, 0.000], [0.000, 0.500, 0.500], [0.333, 0.167, 0.750], [0.667, 0.833, 0.250], [0.667, 0.833, 0.750], [0.333, 0.167, 0.250]], "dft_energy_ev_per_cell": -16.4, "mass_density_g_cm3": 5.5, "space_group": "No. 194", "ef_ev_per_atom": -0.181}

{"formula": "Ca6SmCd2", "functional": "PBE-GGA", "state": "optimized geometry", "lattice_angstrom": [[3.828, 0.000, 0.608], [1.687, 6.583, 1.734], [-0.022, -0.232, 12.501]], "species": ["Ca", "Ca", "Ca", "Ca", "Ca", "Ca", "Sm", "Cd", "Cd"], "frac_coords": [[0.680, 0.522, 0.119], [0.320, 0.478, 0.881], [0.326, 0.757, 0.591], [0.962, 0.757, 0.320], [0.038, 0.243, 0.680], [0.674, 0.243, 0.409], [0.000, 0.000, 0.000], [0.340, 0.125, 0.195], [0.660, 0.875, 0.805]], "dft_energy_ev_per_cell": -19.6, "mass_density_g_cm3": 3.2, "space_group": "No. 12", "ef_ev_per_atom": -0.116}

{"formula": "Ca2SmCd2", "functional": "PBE-GGA", "state": "optimized geometry", "lattice_angstrom": [[3.676, 0.000, 0.000], [0.000, 3.783, 0.717], [0.000, -0.182, 11.304]], "species": ["Ca", "Ca", "Sm", "Cd", "Cd"], "frac_coords": [[0.000, 0.175, 0.651], [0.000, 0.825, 0.349], [0.000, 0.000, 0.000], [0.500, 0.412, 0.175], [0.500, 0.588, 0.825]], "dft_energy_ev_per_cell": -11.7, "mass_density_g_cm3": 4.8, "space_group": "No. 65", "ef_ev_per_atom": -0.230}

{"formula": "CaSmCd", "functional": "PBE-GGA", "state": "optimized geometry", "lattice_angstrom": [[5.280, 0.000, 0.000], [2.640, 4.572, 0.000], [2.640, 1.524, 8.747]], "species": ["Cd", "Cd", "Sm", "Sm", "Ca", "Ca"], "frac_coords": [[0.252, 0.252, 0.243], [0.748, 0.748, 0.757], [0.371, 0.371, 0.887], [0.629, 0.629, 0.113], [0.877, 0.877, 0.370], [0.123, 0.123, 0.630]], "dft_energy_ev_per_cell": -15.3, "mass_density_g_cm3": 4.8, "space_group": "No. 166", "ef_ev_per_atom": -0.010}

{"formula": "CaSmCd4", "functional": "PBE-GGA", "state": "optimized geometry", "lattice_angstrom": [[3.413, 0.000, 0.987], [2.063, 6.129, -0.737], [-0.418, -2.598, 7.838]], "species": ["Ca", "Sm", "Cd", "Cd", "Cd", "Cd"], "frac_coords": [[0.000, 0.000, 0.000], [0.500, 0.500, 0.500], [0.845, 0.475, 0.835], [0.333, 0.991, 0.344], [0.155, 0.525, 0.165], [0.667, 0.009, 0.656]], "dft_energy_ev_per_cell": -11.9, "mass_density_g_cm3": 6.9, "space_group": "No. 12", "ef_ev_per_atom": -0.252}

{"formula": "Ca2SmCd6", "functional": "PBE-GGA", "state": "optimized geometry", "lattice_angstrom": [[-0.315, -0.139, -3.525], [8.651, 0.747, -0.802], [-3.654, -7.891, 0.637]], "species": ["Ca", "Ca", "Sm", "Cd", "Cd", "Cd", "Cd", "Cd", "Cd"], "frac_coords": [[0.000, 0.333, 0.667], [0.000, 0.667, 0.333], [0.000, 0.000, 0.000], [0.500, 0.334, 0.334], [0.500, 0.666, 0.666], [0.500, 0.000, 0.666], [0.500, 0.666, 0.000], [0.500, 0.334, 0.000], [0.500, 0.000, 0.334]], "dft_energy_ev_per_cell": -17.2, "mass_density_g_cm3": 6.4, "space_group": "No. 191", "ef_ev_per_atom": -0.332}

{"formula": "CaSmCdSn", "functional": "PBE-GGA", "state": "optimized geometry", "lattice_angstrom": [[5.401, 0.000, 0.000], [2.701, 4.677, 0.000], [2.701, 1.559, 4.410]], "species": ["Ca", "Sn", "Sm", "Cd"], "frac_coords": [[0.750, 0.750, 0.750], [0.500, 0.500, 0.500], [0.250, 0.250, 0.250], [0.000, 0.000, 0.000]], "dft_energy_ev_per_cell": -13.7, "mass_density_g_cm3": 6.3, "space_group": "No. 216", "ef_ev_per_atom": -0.511}

{"formula": "SrCa2SmCd4", "functional": "PBE-GGA", "state": "optimized geometry", "lattice_angstrom": [[-1.242, 4.241, -3.255], [-3.825, -0.559, -3.895], [-7.998, 3.847, 3.437]], "species": ["Sr", "Ca", "Ca", "Sm", "Cd", "Cd", "Cd", "Cd"], "frac_coords": [[0.000, 0.000, 0.000], [0.750, 0.750, 0.749], [0.250, 0.250, 0.251], [0.500, 0.500, 0.500], [0.378, 0.378, 0.865], [0.872, 0.872, 0.383], [0.128, 0.128, 0.617], [0.622, 0.622, 0.135]], "dft_energy_ev_per_cell": -16.8, "mass_density_g_cm3": 5.4, "space_group": "No. 166", "ef_ev_per_atom": -0.341}

{"formula": "SrCaSmCd", "functional": "PBE-GGA", "state": "optimized geometry", "lattice_angstrom": [[-1.453, -1.825, 5.307], [-5.276, -2.200, 0.966], [-0.631, -5.667, 1.045]], "species": ["Sr", "Ca", "Sm", "Cd"], "frac_coords": [[0.750, 0.750, 0.750], [0.500, 0.500, 0.500], [0.250, 0.250, 0.250], [0.000, 0.000, 0.000]], "dft_energy_ev_per_cell": -9.3, "mass_density_g_cm3": 4.7, "space_group": "No. 216", "ef_ev_per_atom": 0.012}

{"formula": "CaTbSmCd", "functional": "PBE-GGA", "state": "optimized geometry", "lattice_angstrom": [[-1.418, 0.376, 3.327], [3.299, -0.458, 1.458], [1.487, 9.365, -0.425]], "species": ["Ca", "Tb", "Sm", "Cd"], "frac_coords": [[0.500, 0.500, 0.784], [0.500, 0.500, 0.349], [0.000, 0.000, 0.091], [0.000, 0.000, 0.561]], "dft_energy_ev_per_cell": -12.8, "mass_density_g_cm3": 6.1, "space_group": "No. 99", "ef_ev_per_atom": -0.138}

{"formula": "CaTbSmCd", "functional": "PBE-GGA", "state": "optimized geometry", "lattice_angstrom": [[-0.889, 5.445, -0.629], [-4.464, 1.782, -2.782], [-4.166, 2.466, 2.721]], "species": ["Ca", "Tb", "Sm", "Cd"], "frac_coords": [[0.500, 0.500, 0.500], [0.250, 0.250, 0.250], [0.750, 0.750, 0.750], [0.000, 0.000, 0.000]], "dft_energy_ev_per_cell": -12.4, "mass_density_g_cm3": 6.3, "space_group": "No. 216", "ef_ev_per_atom": -0.023}